# LaDyAlAg

An optimized crystal structure of LaDyAlAg (PBE, the Alexandria database).

Geometry as POSCAR:
```
LaDyAlAg
1.0
3.638 0.000 0.000
0.000 3.638 0.000
0.000 0.000 7.756
La Dy Al Ag
1 1 1 1
Cartesian
0.000 0.000 6.723 La
0.000 0.000 2.789 Dy
1.819 1.819 0.992 Al
1.819 1.819 4.450 Ag
```

Output
calculated formation energy	-0.345	eV/atom
magnetic moment	0.00	μB/atom
DOS(E_F)	3.84	states/eV/cell
crystal system	tetragonal
SG	P4mm (99)
density	7.06	Mg/m³
calculated total energy	-4.3760	eV/atom

=====

# ErSiNiIr

An optimized crystal structure of ErSiNiIr (PBE, the Alexandria database).

Geometry as POSCAR:
```
ErSiNiIr
1.0
4.180 0.000 0.000
0.000 3.762 0.000
0.000 -1.881 4.700
Er Si Ni Ir
1 1 1 1
Cartesian
2.090 0.000 1.895 Er
0.000 1.881 0.880 Si
0.000 1.881 4.216 Ni
2.090 0.000 4.550 Ir
```

Output
magnetic moment	0.00	μB/atom
DOS(E_F)	1.51	states/eV/cell
crystal system	orthorhombic
SG	Amm2 (38)
density	10.03	Mg/m³
calculated total energy	-6.5819	eV/atom